A relaxed La3Pr9Y2 crystal. Source: Alexandria via LeMat-Bulk, functional PBE.

Unit cell a=5.547 b=13.272 c=13.272 alpha=47.15 beta=51.18 gamma=51.18
Positions (direct):
La 0.000 0.000 0.000
La 0.988 0.171 0.171
La 0.012 0.829 0.829
Pr 0.000 0.500 0.500
Pr 0.366 0.104 0.651
Pr 0.634 0.896 0.349
Pr 0.366 0.651 0.104
Pr 0.634 0.349 0.896
Pr 0.918 0.846 0.544
Pr 0.082 0.154 0.456
Pr 0.918 0.544 0.846
Pr 0.082 0.456 0.154
Y 0.500 0.245 0.755
Y 0.500 0.755 0.245

Computed properties:
Energy relative to the elements ... 0.250 eV per atom
Space-group type ... C2/m, No. 12
Size of the total moment ... 0.0 Bohr magnetons per cell